{
  "formula": "Tb2AlO4",
  "functional": "PBE-GGA",
  "state": "optimized geometry",
  "density_g_cm3": 8.26,
  "sg": "C2/m (12)",
  "e_form_raw_ev_per_atom": -2.941,
  "final_energy_ev_per_atom": -7.632,
  "lattice_angstrom": [[10.026, 0.000, 0.000], [0.000, 3.038, 0.000], [-2.859, 0.000, 5.395]],
  "species": ["Tb", "Tb", "Tb", "Tb", "Al", "Al", "O", "O", "O", "O", "O", "O", "O", "O"],
  "frac_coords": [[0.158, 0.000, 0.193], [0.342, 0.500, 0.807], [0.658, 0.500, 0.193], [0.842, 0.000, 0.807], [0.000, 0.500, 0.500], [0.500, 0.000, 0.500], [0.050, 0.500, 0.840], [0.145, 0.000, 0.562], [0.355, 0.500, 0.438], [0.450, 0.000, 0.160], [0.550, 0.000, 0.840], [0.645, 0.500, 0.562], [0.855, 0.000, 0.438], [0.950, 0.500, 0.160]]
}